DFT (PBE) results for a relaxed structure of Dy3CdRh.

Output
energy above the lowest structure with this stoichiometry	0	meV per atom
energy relative to the elements	-0.49	eV/atom
E_tot	-4.91	eV per atom

Cell: 5.557 6.174 8.812 Å, 102.60 99.84 114.41°
Sites, in units of the cell vectors:
Dy 0.056 0.196 0.276
Dy 0.281 0.423 0.725
Dy 0.303 0.803 0.106
Dy 0.697 0.197 0.894
Dy 0.719 0.577 0.275
Dy 0.944 0.804 0.724
Cd 0.344 0.761 0.499
Cd 0.656 0.239 0.501
Rh 0.249 0.248 0.997
Rh 0.751 0.752 0.003